A relaxed LiNbSe2 crystal, computed with PBE.

Formation energy (no corrections) in eV per formula unit: -4.3
Total magnetization in μB/atom: 0.000
ρ in Mg/m³: 5.79

POSCAR file:
```
LiNbSe2
1.0
3.5386 0.0000 0.0000
-1.7693 3.0645 0.0000
0.0000 0.0000 13.6286
Li Nb Se
2 2 4
Cartesian
0.0000 0.0000 0.0000
0.0000 0.0000 6.8143
0.0000 0.0000 3.4072
0.0000 0.0000 10.2215
0.0000 2.0430 1.7370
0.0000 2.0430 5.0773
1.7693 1.0215 8.5513
1.7693 1.0215 11.8916
```